Record 1
First-principles (PBE) data for crystalline PuVMoOs at its relaxed geometry, as listed in Alexandria via LeMat-Bulk.

**Formation energy**: 85 meV/atom
**SG**: F-43m, No. 216

a b c (Å): 4.531 4.531 4.531
angles (deg): 60.00 60.00 60.00
Fractional positions:
Pu  0.000  0.000  0.000
V  0.500  0.500  0.500
Mo  0.250  0.250  0.250
Os  0.750  0.750  0.750



Record 2
First-principles (PBE) data for crystalline CrRhC3 at its relaxed geometry, as listed in Alexandria via LeMat-Bulk.

**Energy above the lowest structure with this stoichiometry**: 0 meV/atom
**Formation energy**: 1913 meV/atom
**SG**: Pm-3m, No. 221

a b c (Å): 3.784 3.784 3.784
angles (deg): 90.00 90.00 90.00
Fractional positions:
Cr  0.000  0.000  0.000
Rh  0.500  0.500  0.500
C  0.000  0.000  0.500
C  0.000  0.500  0.000
C  0.500  0.000  0.000



Record 3
First-principles (PBE) data for crystalline ReC3O at its relaxed geometry, as listed in Alexandria via LeMat-Bulk.

**Formation energy without anion corrections**: 13.69 eV/f.u.
**Energy above the lowest structure with this stoichiometry**: 541 meV/atom
**SG**: Pm-3m, No. 221

a b c (Å): 3.469 3.469 3.469
angles (deg): 90.00 90.00 90.00
Fractional positions:
Re  0.000  0.000  0.000
C  0.000  0.500  0.500
C  0.500  0.000  0.500
C  0.500  0.500  0.000
O  0.500  0.500  0.500



Record 4
First-principles (PBE) data for crystalline Pu3Hf5Se12 at its relaxed geometry, as listed in Alexandria via LeMat-Bulk.

**Formation energy without anion corrections**: -22.62 eV/f.u.
**SG**: Ia-3d, No. 230

a b c (Å): 14.177 14.177 14.177
angles (deg): 109.47 109.47 109.47
Fractional positions:
Pu  0.125  0.250  0.375
Pu  0.125  0.375  0.750
Pu  0.250  0.375  0.125
Pu  0.250  0.875  0.625
Pu  0.375  0.125  0.250
Pu  0.375  0.750  0.125
Pu  0.625  0.250  0.875
Pu  0.625  0.875  0.750
Pu  0.750  0.125  0.375
Pu  0.750  0.625  0.875
Pu  0.875  0.625  0.250
Pu  0.875  0.750  0.625
Hf  0.000  0.000  0.000
Hf  0.000  0.000  0.500
Hf  0.000  0.500  0.000
Hf  0.000  0.500  0.500
Hf  0.125  0.750  0.875
Hf  0.125  0.875  0.250
Hf  0.250  0.125  0.875
Hf  0.250  0.625  0.375
Hf  0.375  0.250  0.625
Hf  0.375  0.625  0.750
Hf  0.500  0.000  0.000
Hf  0.500  0.000  0.500
Hf  0.500  0.500  0.000
Hf  0.500  0.500  0.500
Hf  0.625  0.375  0.250
Hf  0.625  0.750  0.375
Hf  0.750  0.375  0.625
Hf  0.750  0.875  0.125
Hf  0.875  0.125  0.750
Hf  0.875  0.250  0.125
Se  0.036  0.213  0.121
Se  0.036  0.323  0.915
Se  0.085  0.621  0.408
Se  0.085  0.964  0.677
Se  0.092  0.713  0.677
Se  0.092  0.879  0.415
Se  0.121  0.036  0.213
Se  0.121  0.585  0.908
Se  0.177  0.213  0.592
Se  0.177  0.464  0.585
Se  0.213  0.121  0.036
Se  0.213  0.592  0.177
Se  0.287  0.323  0.908
Se  0.287  0.464  0.379
Se  0.323  0.908  0.287
Se  0.323  0.915  0.036
Se  0.379  0.287  0.464
Se  0.379  0.592  0.915
Se  0.408  0.085  0.621
Se  0.408  0.823  0.787
Se  0.415  0.092  0.879
Se  0.415  0.823  0.536
Se  0.464  0.379  0.287
Se  0.464  0.585  0.177
Se  0.536  0.415  0.823
Se  0.536  0.621  0.713
Se  0.585  0.177  0.464
Se  0.585  0.908  0.121
Se  0.592  0.177  0.213
Se  0.592  0.915  0.379
Se  0.621  0.408  0.085
Se  0.621  0.713  0.536
Se  0.677  0.085  0.964
Se  0.677  0.092  0.713
Se  0.713  0.536  0.621
Se  0.713  0.677  0.092
Se  0.787  0.408  0.823
Se  0.787  0.879  0.964
Se  0.823  0.536  0.415
Se  0.823  0.787  0.408
Se  0.879  0.415  0.092
Se  0.879  0.964  0.787
Se  0.908  0.121  0.585
Se  0.908  0.287  0.323
Se  0.915  0.036  0.323
Se  0.915  0.379  0.592
Se  0.964  0.677  0.085
Se  0.964  0.787  0.879



Record 5
First-principles (PBE) data for crystalline Pr6ZnIr2I3 at its relaxed geometry, as listed in Alexandria via LeMat-Bulk.

**Formation energy without anion corrections**: -9.92 eV/f.u.
**SG**: C2/m, No. 12

a b c (Å): 7.428 7.428 8.543
angles (deg): 98.34 98.34 119.96
Fractional positions:
Pr  0.085  0.437  0.810
Pr  0.211  0.211  0.189
Pr  0.437  0.085  0.810
Pr  0.563  0.915  0.190
Pr  0.789  0.789  0.811
Pr  0.915  0.563  0.190
Zn  0.500  0.500  0.000
Ir  0.167  0.833  0.000
Ir  0.833  0.167  0.000
I  0.000  0.000  0.500
I  0.336  0.664  0.500
I  0.664  0.336  0.500



Record 6
First-principles (PBE) data for crystalline ErMgAs2 at its relaxed geometry, as listed in Alexandria via LeMat-Bulk.

**Formation energy**: -846 meV/atom
**SG**: R-3m, No. 166

a b c (Å): 6.806 6.806 6.806
angles (deg): 34.80 34.80 34.80
Fractional positions:
Er  0.000  0.000  0.000
Mg  0.500  0.500  0.500
As  0.247  0.247  0.247
As  0.753  0.753  0.753



Record 7
First-principles (PBE) data for crystalline Cs2Cd3In5 at its relaxed geometry, as listed in Alexandria via LeMat-Bulk.

**Energy above the lowest structure with this stoichiometry**: 0 meV/atom
**Formation energy**: -80 meV/atom
**SG**: P-4m2, No. 115

a b c (Å): 5.148 5.148 12.599
angles (deg): 90.00 90.00 90.00
Fractional positions:
Cs  0.000  0.500  0.247
Cs  0.500  0.000  0.753
Cd  0.000  0.000  0.000
Cd  0.000  0.500  0.873
Cd  0.500  0.000  0.127
In  0.000  0.000  0.500
In  0.000  0.500  0.635
In  0.500  0.000  0.365
In  0.500  0.500  0.000
In  0.500  0.500  0.500



Record 8
First-principles (PBE) data for crystalline TbPm2Ni at its relaxed geometry, as listed in Alexandria via LeMat-Bulk.

**Energy above the lowest structure with this stoichiometry**: 157 meV/atom
**Formation energy**: -43 meV/atom
**SG**: R-3m, No. 166

a b c (Å): 9.742 9.742 9.742
angles (deg): 22.14 22.14 22.14
Fractional positions:
Tb  0.000  0.000  0.000
Pm  0.228  0.228  0.228
Pm  0.772  0.772  0.772
Ni  0.500  0.500  0.500



Record 9
First-principles (PBE) data for crystalline Ca2AcTl2Pb2 at its relaxed geometry, as listed in Alexandria via LeMat-Bulk.

**Formation energy**: -277 meV/atom
**SG**: R-3m, No. 166

a b c (Å): 9.626 9.626 9.626
angles (deg): 32.76 32.76 32.76
Fractional positions:
Ca  0.135  0.135  0.135
Ca  0.865  0.865  0.865
Ac  0.000  0.000  0.000
Tl  0.433  0.433  0.433
Tl  0.567  0.567  0.567
Pb  0.264  0.264  0.264
Pb  0.736  0.736  0.736



Record 10
First-principles (PBE) data for crystalline VHg at its relaxed geometry, as listed in Alexandria via LeMat-Bulk.

**Formation energy**: 1504 meV/atom
**SG**: Pm-3n, No. 223

a b c (Å): 7.684 7.684 7.684
angles (deg): 90.00 90.00 90.00
Fractional positions:
V  0.000  0.250  0.500
V  0.000  0.750  0.500
V  0.250  0.500  0.000
V  0.500  0.000  0.250
V  0.500  0.000  0.750
V  0.750  0.500  0.000
Hg  0.000  0.500  0.250
Hg  0.000  0.500  0.750
Hg  0.250  0.000  0.500
Hg  0.500  0.250  0.000
Hg  0.500  0.750  0.000
Hg  0.750  0.000  0.500



Record 11
First-principles (PBE) data for crystalline YMnOs2 at its relaxed geometry, as listed in Alexandria via LeMat-Bulk.

**Energy above the lowest structure with this stoichiometry**: 434 meV/atom
**Formation energy**: 573 meV/atom
**SG**: R3m, No. 160

a b c (Å): 9.599 9.599 9.599
angles (deg): 17.19 17.19 17.19
Fractional positions:
Y  0.000  0.000  0.000
Mn  0.759  0.759  0.759
Os  0.240  0.240  0.240
Os  0.501  0.501  0.501



Record 12
First-principles (PBE) data for crystalline CeNdCoPt at its relaxed geometry, as listed in Alexandria via LeMat-Bulk.

**Formation energy**: -463 meV/atom
**SG**: F-43m, No. 216

a b c (Å): 4.977 4.977 4.977
angles (deg): 60.00 60.00 60.00
Fractional positions:
Ce  0.000  0.000  0.000
Nd  0.500  0.500  0.500
Co  0.750  0.750  0.750
Pt  0.250  0.250  0.250